(1)
{
  "formula": "Ce3Pu2ThN6",
  "functional": "PBE",
  "state": "optimized geometry",
  "lattice_angstrom": [[3.087, -5.343, 0.000], [3.087, 5.343, 0.000], [-2.057, 0.000, 5.817]],
  "species": ["Ce", "Ce", "Ce", "Pu", "Pu", "Th", "N", "N", "N", "N", "N", "N"],
  "frac_coords": [[0.000, 0.000, 0.000], [0.332, 0.668, 0.000], [0.668, 0.332, 0.000], [0.167, 0.833, 0.500], [0.833, 0.167, 0.500], [0.500, 0.500, 0.500], [0.078, 0.418, 0.256], [0.240, 0.240, 0.743], [0.418, 0.078, 0.256], [0.582, 0.922, 0.744], [0.760, 0.760, 0.257], [0.922, 0.582, 0.744]],
  "total_magnetization_mub_per_atom": 0.933,
  "dos_ef_per_ev_cell": 13.7,
  "e_form_raw_mev_per_atom": -1432
}


(2)
{
  "formula": "Th4Se",
  "functional": "PBE",
  "state": "optimized geometry",
  "lattice_angstrom": [[5.576, 0.000, 0.000], [0.000, 5.576, 0.000], [0.000, 0.000, 5.576]],
  "species": ["Th", "Th", "Th", "Th", "Se"],
  "frac_coords": [[0.000, 0.000, 0.000], [0.000, 0.500, 0.500], [0.500, 0.000, 0.500], [0.500, 0.500, 0.000], [0.500, 0.500, 0.500]],
  "total_magnetization_mub_per_atom": 0.000,
  "dos_ef_per_ev_cell": 4.8,
  "e_form_raw_mev_per_atom": -245
}


(3)
{
  "formula": "MnCdRu2",
  "functional": "PBE",
  "state": "optimized geometry",
  "lattice_angstrom": [[3.949, 0.000, 0.000], [0.000, 3.949, 0.000], [0.000, 0.000, 3.926]],
  "species": ["Mn", "Cd", "Ru", "Ru"],
  "frac_coords": [[0.000, 0.000, 0.000], [0.500, 0.500, 0.000], [0.000, 0.500, 0.500], [0.500, 0.000, 0.500]],
  "final_energy_ev_per_cell": -27.16,
  "total_magnetization_mub_per_atom": 0.471,
  "dos_ef_per_ev_cell": 4.7
}


(4)
{
  "formula": "Ti5VBi2",
  "functional": "PBE",
  "state": "optimized geometry",
  "lattice_angstrom": [[2.280, -6.535, 0.000], [2.280, 6.535, 0.000], [0.000, 0.000, 11.888]],
  "species": ["Ti", "Ti", "Ti", "Ti", "Ti", "Ti", "Ti", "Ti", "Ti", "Ti", "V", "V", "Bi", "Bi", "Bi", "Bi"],
  "frac_coords": [[0.131, 0.869, 0.636], [0.131, 0.869, 0.864], [0.289, 0.711, 0.250], [0.305, 0.695, 0.514], [0.305, 0.695, 0.986], [0.695, 0.305, 0.014], [0.695, 0.305, 0.486], [0.711, 0.289, 0.750], [0.869, 0.131, 0.136], [0.869, 0.131, 0.364], [0.314, 0.686, 0.750], [0.686, 0.314, 0.250], [0.093, 0.907, 0.114], [0.093, 0.907, 0.386], [0.907, 0.093, 0.614], [0.907, 0.093, 0.886]],
  "final_energy_ev_per_cell": -108.09,
  "total_magnetization_mub_per_atom": 0.001,
  "dos_ef_per_ev_cell": 20.8
}


(5)
{
  "formula": "CoNi3Cl",
  "functional": "PBE",
  "state": "optimized geometry",
  "lattice_angstrom": [[4.096, 0.000, 0.000], [0.000, 4.096, 0.000], [0.000, 0.000, 4.096]],
  "species": ["Co", "Ni", "Ni", "Ni", "Cl"],
  "frac_coords": [[0.000, 0.000, 0.000], [0.000, 0.500, 0.500], [0.500, 0.000, 0.500], [0.500, 0.500, 0.000], [0.500, 0.500, 0.500]],
  "total_magnetization_mub_per_atom": 0.400,
  "dos_ef_per_ev_cell": 3.0,
  "e_form_raw_mev_per_atom": 812
}


(6)
{
  "formula": "Sm2HoZrP4",
  "functional": "PBE",
  "state": "optimized geometry",
  "lattice_angstrom": [[6.880, 0.000, 0.000], [0.000, 3.970, 0.000], [-2.273, 0.000, 6.507]],
  "species": ["Sm", "Sm", "Ho", "Zr", "P", "P", "P", "P"],
  "frac_coords": [[0.000, 0.000, 0.000], [0.500, 0.500, 0.000], [0.000, 0.500, 0.500], [0.500, 0.000, 0.500], [0.253, 0.000, 0.737], [0.262, 0.500, 0.267], [0.738, 0.500, 0.733], [0.747, 0.000, 0.263]],
  "final_energy_ev_per_cell": -56.43,
  "total_magnetization_mub_per_atom": 0.000,
  "dos_ef_per_ev_cell": 1.6
}


(7)
{
  "formula": "TeS6F",
  "functional": "PBE",
  "state": "optimized geometry",
  "lattice_angstrom": [[4.513, 0.000, 0.000], [0.711, 6.184, 0.000], [0.233, 0.582, 7.794]],
  "species": ["Te", "S", "S", "S", "S", "S", "S", "F"],
  "frac_coords": [[0.000, 0.000, 0.000], [0.144, 0.578, 0.058], [0.161, 0.994, 0.419], [0.170, 0.495, 0.425], [0.830, 0.505, 0.575], [0.839, 0.006, 0.581], [0.856, 0.422, 0.942], [0.500, 0.000, 0.000]],
  "total_magnetization_mub_per_atom": 0.000,
  "dos_ef_per_ev_cell": 2.8,
  "e_form_raw_mev_per_atom": -56
}


Copy entry 2 word for word.
{
  "formula": "Th4Se",
  "functional": "PBE",
  "state": "optimized geometry",
  "lattice_angstrom": [[5.576, 0.000, 0.000], [0.000, 5.576, 0.000], [0.000, 0.000, 5.576]],
  "species": ["Th", "Th", "Th", "Th", "Se"],
  "frac_coords": [[0.000, 0.000, 0.000], [0.000, 0.500, 0.500], [0.500, 0.000, 0.500], [0.500, 0.500, 0.000], [0.500, 0.500, 0.500]],
  "total_magnetization_mub_per_atom": 0.000,
  "dos_ef_per_ev_cell": 4.8,
  "e_form_raw_mev_per_atom": -245
}


Repeat the first record exactly.
{
  "formula": "Ce3Pu2ThN6",
  "functional": "PBE",
  "state": "optimized geometry",
  "lattice_angstrom": [[3.087, -5.343, 0.000], [3.087, 5.343, 0.000], [-2.057, 0.000, 5.817]],
  "species": ["Ce", "Ce", "Ce", "Pu", "Pu", "Th", "N", "N", "N", "N", "N", "N"],
  "frac_coords": [[0.000, 0.000, 0.000], [0.332, 0.668, 0.000], [0.668, 0.332, 0.000], [0.167, 0.833, 0.500], [0.833, 0.167, 0.500], [0.500, 0.500, 0.500], [0.078, 0.418, 0.256], [0.240, 0.240, 0.743], [0.418, 0.078, 0.256], [0.582, 0.922, 0.744], [0.760, 0.760, 0.257], [0.922, 0.582, 0.744]],
  "total_magnetization_mub_per_atom": 0.933,
  "dos_ef_per_ev_cell": 13.7,
  "e_form_raw_mev_per_atom": -1432
}